No. 1
## Lu4TlCuC2 (GGA-PBE)

Data for an optimized crystal structure of Lu4TlCuC2.

Summary:
Total magnetic moment: 0.000 μB/atom
E_tot: -45.39 eV/cell
Volume: 19.8 A^3/atom

The structure in CIF format:
```
data_Lu4TlCuC2
_symmetry_space_group_name_H-M 'P -6 m 2'
_symmetry_Int_Tables_number 187
_symmetry_space_group_name_Hall 'P -6 2'
_cell_length_a 3.5435
_cell_length_b 3.5435
_cell_length_c 14.5299
_cell_angle_alpha 90.00
_cell_angle_beta 90.00
_cell_angle_gamma 120.00
loop_
_atom_site_label
_atom_site_type_symbol
_atom_site_fract_x
_atom_site_fract_y
_atom_site_fract_z
Lu1 Lu 0.0000 0.0000 0.1412
Lu2 Lu 0.3333 0.6667 0.3194
Tl1 Tl 0.0000 0.0000 0.5000
Cu1 Cu 0.3333 0.6667 0.0000
C1 C 0.6667 0.3333 0.2291
```

=====

No. 2
## Lu4Cu3W2C3 (GGA-PBE)

Data for an optimized crystal structure of Lu4Cu3W2C3.

Summary:
Total magnetic moment: 0.001 μB/atom
E_tot: -342.96 eV/cell
Volume: 16.0 A^3/atom

The structure in CIF format:
```
data_Lu4Cu3W2C3
_symmetry_space_group_name_H-M 'C 1 2/c 1'
_symmetry_Int_Tables_number 15
_symmetry_space_group_name_Hall '-C 2yc'
_cell_length_a 9.9505
_cell_length_b 5.7601
_cell_length_c 13.7932
_cell_angle_alpha 90.00
_cell_angle_beta 103.70
_cell_angle_gamma 90.00
loop_
_atom_site_label
_atom_site_type_symbol
_atom_site_fract_x
_atom_site_fract_y
_atom_site_fract_z
Lu1 Lu 0.1186 0.0683 0.1090
Lu2 Lu 0.2079 0.0884 0.3909
Cu1 Cu 0.0000 0.1788 0.7500
Cu2 Cu 0.1221 0.4550 0.2500
W1 W 0.0682 0.4078 0.9294
C1 C 0.0764 0.2708 0.5000
C2 C 0.2500 0.2500 0.0000
```

=====

No. 3
## Y4Lu2Cu3C3 (GGA-PBE)

Data for an optimized crystal structure of Y4Lu2Cu3C3.

Summary:
Total magnetic moment: 0.048 μB/atom
E_tot: -301.81 eV/cell
Volume: 19.6 A^3/atom

The structure in CIF format:
```
data_Y4Lu2Cu3C3
_symmetry_space_group_name_H-M 'C 1 2/c 1'
_symmetry_Int_Tables_number 15
_symmetry_space_group_name_Hall '-C 2yc'
_cell_length_a 10.7190
_cell_length_b 6.1779
_cell_length_c 14.6801
_cell_angle_alpha 90.00
_cell_angle_beta 104.17
_cell_angle_gamma 90.00
loop_
_atom_site_label
_atom_site_type_symbol
_atom_site_fract_x
_atom_site_fract_y
_atom_site_fract_z
Y1 Y 0.1140 0.0838 0.0916
Y2 Y 0.2192 0.0832 0.4084
Lu1 Lu 0.0504 0.4172 0.9037
Cu1 Cu 0.0000 0.0704 0.2500
Cu2 Cu 0.2397 0.3433 0.2502
C1 C 0.0792 0.2626 0.5002
C2 C 0.2500 0.2500 0.0000
```

=====

No. 4
## Y2Lu4Cu3C3 (GGA-PBE)

Data for an optimized crystal structure of Y2Lu4Cu3C3.

Summary:
Total magnetic moment: 0.002 μB/atom
E_tot: -291.08 eV/cell
Volume: 18.6 A^3/atom

The structure in CIF format:
```
data_Y2Lu4Cu3C3
_symmetry_space_group_name_H-M 'C 1 2/c 1'
_symmetry_Int_Tables_number 15
_symmetry_space_group_name_Hall '-C 2yc'
_cell_length_a 10.5686
_cell_length_b 6.0932
_cell_length_c 14.3484
_cell_angle_alpha 90.00
_cell_angle_beta 104.48
_cell_angle_gamma 90.00
loop_
_atom_site_label
_atom_site_type_symbol
_atom_site_fract_x
_atom_site_fract_y
_atom_site_fract_z
Y1 Y 0.0457 0.0827 0.3922
Lu1 Lu 0.1136 0.4138 0.5896
Lu2 Lu 0.2205 0.4178 0.9104
Cu1 Cu 0.0000 0.4244 0.7500
Cu2 Cu 0.2443 0.1596 0.7504
C1 C 0.0827 0.2479 0.0002
C2 C 0.2500 0.2500 0.5000
```